A relaxed NaPuHg crystal. Source: the Alexandria database, functional PBE.

Structure (POSCAR):
```
NaPuHg
1.0
10.566 0.000 0.000
0.000 3.362 0.000
-2.529 0.000 8.516
Na Pu Hg
4 4 4
direct
0.156 0.000 0.109
0.344 0.500 0.891
0.656 0.500 0.109
0.844 0.000 0.891
0.173 0.500 0.479
0.327 0.000 0.521
0.673 0.000 0.479
0.827 0.500 0.521
0.076 0.000 0.729
0.424 0.500 0.271
0.576 0.500 0.729
0.924 0.000 0.271
```

Properties
Energy of formation from the pure elements, eV per atom: 0.1196
Energy above the most stable polymorph in this dataset, eV per atom: 0.045

***

A relaxed NaPu2Hg6 crystal. Source: the Alexandria database, functional PBE.

Structure (POSCAR):
```
NaPu2Hg6
1.0
7.722 -4.465 0.000
7.722 4.465 0.000
-0.001 0.000 3.167
Na Pu Hg
1 2 6
direct
0.000 0.000 0.000
0.333 0.333 0.000
0.667 0.667 0.000
0.000 0.331 0.498
0.000 0.669 0.502
0.331 0.000 0.498
0.331 0.669 0.500
0.669 0.000 0.502
0.669 0.331 0.500
```

Properties
Energy of formation from the pure elements, eV per atom: -0.1905